1.
This record from Alexandria via LeMat-Bulk describes crystalline MgMnAlPd at its relaxed geometry. The functional is PBE.

N(E_F) ... 3.0 states/eV/f.u.
E ... -5.27 eV/atom
Mass density ... 5.77 Mg/m³
Formation energy from the elements ... -33.6 kJ/mol of atoms

abc: 4.4230 4.4230 4.4230
angles: 60.00 60.00 60.00
Element x y z (fractional)
Mg 0.0000 0.0000 0.0000
Mn 0.7500 0.7500 0.7500
Al 0.5000 0.5000 0.5000
Pd 0.2500 0.2500 0.2500

***

2.
This record from Alexandria via LeMat-Bulk describes crystalline MgMnAlRu at its relaxed geometry. The functional is PBE.

N(E_F) ... 1.6 states/eV/f.u.
E ... -6.14 eV/atom
Mass density ... 5.93 Mg/m³
Formation energy from the elements ... -18.6 kJ/mol of atoms

abc: 4.3460 4.3460 4.3460
angles: 60.00 60.00 60.00
Element x y z (fractional)
Mg 0.0000 0.0000 0.0000
Mn 0.2500 0.2500 0.2500
Al 0.5000 0.5000 0.5000
Ru 0.7500 0.7500 0.7500

***

3.
This record from Alexandria via LeMat-Bulk describes crystalline MgMnAlRu2 at its relaxed geometry. The functional is PBE.

N(E_F) ... 5.0 states/eV/f.u.
E ... -5.77 eV/atom
Mass density ... 5.83 Mg/m³
Formation energy from the elements ... 81.2 kJ/mol of atoms

abc: 4.3913 4.3913 4.5564
angles: 90.00 90.00 90.00
Element x y z (fractional)
Mg 0.0000 0.0000 0.0000
Mn 0.0000 0.0000 0.5000
Al 0.5000 0.5000 0.0000
Ru 0.0000 0.5000 0.5000
Ru 0.5000 0.0000 0.5000

***

4.
This record from Alexandria via LeMat-Bulk describes crystalline MgMnAlS4 at its relaxed geometry. The functional is PBE.

N(E_F) ... 1.7 states/eV/f.u.
Energy relative to the elements, uncorrected ... -652 kJ/mol of formula units
E ... -5.40 eV/atom
Mass density ... 2.88 Mg/m³

abc: 7.2331 7.2331 7.2331
angles: 119.51 119.12 91.20
Element x y z (fractional)
Mg 0.3753 0.1253 0.2500
Mg 0.6247 0.8747 0.7500
Mn 0.0000 0.5000 0.5000
Mn 0.5000 0.5000 0.0000
Al 0.0000 0.0000 0.5000
Al 0.0000 0.5000 0.0000
S 0.2129 0.7399 0.4730
S 0.2330 0.2601 0.9730
S 0.2373 0.2598 0.5225
S 0.2373 0.7148 0.9775
S 0.7627 0.2852 0.0225
S 0.7627 0.7402 0.4775
S 0.7670 0.7399 0.0270
S 0.7871 0.2601 0.5270

***

5.
This record from Alexandria via LeMat-Bulk describes crystalline Mg2Mn3AlS8 at its relaxed geometry. The functional is PBE.

N(E_F) ... 5.6 states/eV/f.u.
Energy relative to the elements, uncorrected ... -1155 kJ/mol of formula units
E ... -5.67 eV/atom
Mass density ... 3.03 Mg/m³

abc: 7.2614 7.2614 7.2614
angles: 60.19 60.19 60.19
Element x y z (fractional)
Mg 0.1249 0.1249 0.1249
Mg 0.8751 0.8751 0.8751
Mn 0.0000 0.5000 0.5000
Mn 0.5000 0.0000 0.5000
Mn 0.5000 0.5000 0.0000
Al 0.5000 0.5000 0.5000
S 0.2617 0.2617 0.2617
S 0.2640 0.2640 0.7138
S 0.2640 0.7138 0.2640
S 0.2862 0.7360 0.7360
S 0.7138 0.2640 0.2640
S 0.7360 0.2862 0.7360
S 0.7360 0.7360 0.2862
S 0.7383 0.7383 0.7383

***

6.
This record from Alexandria via LeMat-Bulk describes crystalline Sr2MgMnAl at its relaxed geometry. The functional is PBE.

N(E_F) ... 5.2 states/eV/f.u.
E ... -3.05 eV/atom
Mass density ... 3.09 Mg/m³
Formation energy from the elements ... 50.2 kJ/mol of atoms

abc: 5.6155 5.6155 4.7929
angles: 90.00 90.00 90.00
Element x y z (fractional)
Sr 0.0000 0.5000 0.0000
Sr 0.5000 0.0000 0.0000
Mg 0.0000 0.0000 0.5000
Mn 0.5000 0.5000 0.0000
Al 0.5000 0.5000 0.5000

***

7.
This record from Alexandria via LeMat-Bulk describes crystalline SrMgMnAl2 at its relaxed geometry. The functional is PBE.

N(E_F) ... 3.7 states/eV/f.u.
E ... -3.98 eV/atom
Mass density ... 3.28 Mg/m³
Formation energy from the elements ... 0.4 kJ/mol of atoms

abc: 4.7393 4.7393 4.9721
angles: 90.00 90.00 90.00
Element x y z (fractional)
Sr 0.0000 0.0000 0.0000
Mg 0.5000 0.5000 0.0000
Mn 0.5000 0.5000 0.5000
Al 0.0000 0.5000 0.5000
Al 0.5000 0.0000 0.5000

***

8.
This record from Alexandria via LeMat-Bulk describes crystalline MgTi2MnAl at its relaxed geometry. The functional is PBE.

N(E_F) ... 6.3 states/eV/f.u.
E ... -5.63 eV/atom
Mass density ... 3.54 Mg/m³
Formation energy from the elements ... 41.5 kJ/mol of atoms

abc: 4.4136 4.4136 4.8566
angles: 90.00 90.00 90.00
Element x y z (fractional)
Mg 0.0000 0.0000 0.0000
Ti 0.0000 0.5000 0.5000
Ti 0.5000 0.0000 0.5000
Mn 0.0000 0.0000 0.5000
Al 0.5000 0.5000 0.0000